(1)
The following is a PBE-GGA calculation of a geometry-optimized Ac2NpUN6 structure, from the Alexandria database.

Formation energy (no corrections): -1.29 eV per atom
Total magnetic moment: 4.01 μB per cell

abc: 8.6063 8.6063 8.6063
angles: 90.00 90.00 90.00
Space group Fm-3m (No. 225)
Unique sites:
Ac1 0.2500 0.2500 0.2500
Np1 0.0000 0.0000 0.0000
U1 0.0000 0.0000 0.5000
N1 0.0000 0.0000 0.2494

=====

(2)
The following is a PBE-GGA calculation of a geometry-optimized Ac2NpUN4 structure, from the Alexandria database.

Formation energy (no corrections): -1.15 eV per atom
Total magnetic moment: 3.81 μB per cell

abc: 6.2354 3.5979 6.4491
angles: 90.00 109.08 90.00
Space group P2/m (No. 10)
Unique sites:
Ac1 0.0000 0.0000 0.0000
Ac2 0.5000 0.5000 0.0000
Np1 0.0000 0.5000 0.5000
U1 0.5000 0.0000 0.5000
N1 0.2384 0.0000 0.6862
N2 0.2826 0.5000 0.3131

=====

(3)
The following is a PBE-GGA calculation of a geometry-optimized Ac2NpWN6 structure, from the Alexandria database.

Formation energy (no corrections): -1.04 eV per atom
Total magnetic moment: 2.02 μB per cell

abc: 5.9509 8.2882 6.0205
angles: 90.00 90.00 90.00
Space group Pmmn (No. 59, origin choice 2)
Unique sites:
Ac1 0.2500 0.0006 0.2232
Np1 0.2500 0.2500 0.7519
W1 0.2500 0.7500 0.7195
N1 0.0014 0.7500 0.0117
N2 0.0023 0.7500 0.5175
N3 0.2500 0.5140 0.7762

=====

(4)
The following is a PBE-GGA calculation of a geometry-optimized Ac3Y2NpN6 structure, from the Alexandria database.

Formation energy (no corrections): -1.25 eV per atom
Total magnetic moment: 3.33 μB per cell

abc: 6.2358 10.7732 6.4842
angles: 90.00 108.67 90.00
Space group C2/m (No. 12)
Unique sites:
Ac1 0.0000 0.0000 0.0000
Ac2 0.0000 0.3306 0.0000
Y1 0.0000 0.1663 0.5000
Np1 0.0000 0.5000 0.5000
N1 0.2197 0.3478 0.7014
N2 0.2379 0.5000 0.2900

=====

(5)
The following is a PBE-GGA calculation of a geometry-optimized Ac2YNpN4 structure, from the Alexandria database.

Formation energy (no corrections): -1.20 eV per atom
Total magnetic moment: 2.33 μB per cell

abc: 6.1766 3.6237 6.4651
angles: 90.00 108.22 90.00
Space group P2/m (No. 10)
Unique sites:
Ac1 0.0000 0.0000 0.0000
Ac2 0.5000 0.5000 0.0000
Y1 0.0000 0.5000 0.5000
Np1 0.5000 0.0000 0.5000
N1 0.2599 0.0000 0.7003
N2 0.2781 0.5000 0.2997

=====

(6)
The following is a PBE-GGA calculation of a geometry-optimized AcZr4NpN8 structure, from the Alexandria database.

Formation energy (no corrections): -1.34 eV per atom
Total magnetic moment: 5.90 μB per cell

abc: 6.6884 6.6884 16.5765
angles: 90.00 90.00 120.00
Space group R3m (No. 160, hexagonal axes)
Unique sites:
Ac1 0.0000 0.0000 0.0000
Zr1 0.0000 0.0000 0.7470
Zr2 0.0076 0.5038 0.8740
Np1 0.0000 0.0000 0.3725
N1 0.0000 0.0000 0.1435
N2 0.0000 0.0000 0.6186
N3 0.0189 0.5095 0.1245
N4 0.1965 0.3931 0.9519

=====

(7)
The following is a PBE-GGA calculation of a geometry-optimized AcN2O3 structure, from the Alexandria database.

Formation energy (no corrections): -0.97 eV per atom
Total magnetic moment: 2.00 μB per cell

abc: 4.2195 5.1489 8.4406
angles: 89.88 89.91 66.76
Space group P-1 (No. 2)
Unique sites:
Ac1 0.1223 0.0724 0.2501
N1 0.4064 0.5441 0.5499
N2 0.4068 0.5441 0.9500
O1 0.0970 0.5766 0.2499
O2 0.3568 0.0464 0.5544
O3 0.3567 0.0467 0.9458

=====

(8)
The following is a PBE-GGA calculation of a geometry-optimized AcN2O2 structure, from the Alexandria database.

Formation energy (no corrections): -1.39 eV per atom
Total magnetic moment: 2.01 μB per cell

abc: 6.6478 4.1357 9.0883
angles: 90.00 109.19 90.00
Space group C2/m (No. 12)
Unique sites:
Ac1 0.0000 0.0000 0.0000
N1 0.0199 0.5000 0.4451
O1 0.2299 0.5000 0.1096

=====

(9)
The following is a PBE-GGA calculation of a geometry-optimized Ac2NO structure, from the Alexandria database.

Energy above the lowest structure with this stoichiometry: 0.5869 eV/atom
Formation energy (no corrections): -1.33 eV per atom
Total magnetic moment: 0.00 μB per cell

abc: 6.5819 6.5819 6.5819
angles: 90.00 90.00 90.00
Space group Fm-3m (No. 225)
Unique sites:
Ac1 0.2500 0.2500 0.2500
N1 0.0000 0.0000 0.0000
O1 0.0000 0.0000 0.5000

=====

(10)
The following is a PBE-GGA calculation of a geometry-optimized Ac2NO structure, from the Alexandria database.

Energy above the lowest structure with this stoichiometry: 0.6302 eV/atom
Formation energy (no corrections): -1.29 eV per atom
Total magnetic moment: 0.00 μB per cell

abc: 4.6495 4.6495 3.3032
angles: 90.00 90.00 90.00
Space group P4/mmm (No. 123)
Unique sites:
Ac1 0.0000 0.5000 0.0000
N1 0.0000 0.0000 0.5000
O1 0.5000 0.5000 0.5000